A geometry-optimized K2TaS4 structure. Source: the Alexandria database, functional GGA-PBE.

Cell and atoms, written as POSCAR:
```
K2TaS4
1.0
7.2982 0.0000 0.0000
0.0000 5.7324 0.0000
-1.4732 0.0000 11.3110
K Ta S
4 2 8
direct
0.2233 0.2500 0.4059
0.2393 0.2500 0.9744
0.7607 0.7500 0.0256
0.7767 0.7500 0.5941
0.3125 0.7500 0.7371
0.6875 0.2500 0.2629
0.0737 0.7500 0.8470
0.2213 0.7500 0.5402
0.4655 0.5274 0.2043
0.4655 0.9726 0.2043
0.5345 0.0274 0.7957
0.5345 0.4726 0.7957
0.7787 0.2500 0.4598
0.9263 0.2500 0.1530
```

Summary:
polymorph energy (0 for the lowest one) = 0 meV/atom
uncorrected formation energy = -1.022 eV/atom

---

A geometry-optimized LaHf2MnN structure. Source: the Alexandria database, functional GGA-PBE.

Cell and atoms, written as POSCAR:
```
LaHf2MnN
1.0
5.1490 0.0000 0.0000
0.0000 5.1490 0.0000
0.0000 0.0000 4.2618
La Hf Mn N
1 2 1 1
direct
0.0000 0.0000 0.0000
0.0000 0.5000 0.0000
0.5000 0.0000 0.0000
0.0000 0.0000 0.5000
0.5000 0.5000 0.5000
```

Summary:
uncorrected formation energy = 2.531 eV/atom

---

A geometry-optimized ZrBeHg structure. Source: the Alexandria database, functional GGA-PBE.

Cell and atoms, written as POSCAR:
```
ZrBeHg
1.0
4.2901 0.0000 0.0000
-2.1450 3.7153 0.0000
0.0000 0.0000 3.3401
Zr Be Hg
1 1 1
direct
0.0000 0.0000 0.0000
0.3333 0.6667 0.5000
0.6667 0.3333 0.5000
```

Summary:
polymorph energy (0 for the lowest one) = 146 meV/atom
DFT formation energy = -55.3 meV per atom

---

A geometry-optimized CaNbFe3 structure. Source: the Alexandria database, functional GGA-PBE.

Cell and atoms, written as POSCAR:
```
CaNbFe3
1.0
4.6590 0.0000 0.0000
0.0000 4.6590 0.0000
0.0000 0.0000 4.6590
Ca Nb Fe
1 1 3
direct
0.0000 0.0000 0.0000
0.5000 0.5000 0.5000
0.0000 0.5000 0.5000
0.5000 0.0000 0.5000
0.5000 0.5000 0.0000
```

Summary:
polymorph energy (0 for the lowest one) = 0 meV/atom
DFT formation energy = 961.4 meV per atom

---

A geometry-optimized EuDyCdPt structure. Source: the Alexandria database, functional GGA-PBE.

Cell and atoms, written as POSCAR:
```
EuDyCdPt
1.0
0.0000 3.6558 3.6558
3.6558 0.0000 3.6558
3.6558 3.6558 0.0000
Eu Dy Cd Pt
1 1 1 1
direct
0.0000 0.0000 0.0000
0.5000 0.5000 0.5000
0.7500 0.7500 0.7500
0.2500 0.2500 0.2500
```

Summary:
DFT formation energy = -628.7 meV per atom

---

A geometry-optimized CaLa4Fe structure. Source: the Alexandria database, functional GGA-PBE.

Cell and atoms, written as POSCAR:
```
CaLa4Fe
1.0
6.2565 0.0000 0.0000
0.0000 7.2043 0.0000
-1.8242 0.0000 9.1937
Ca La Fe
2 8 2
direct
0.2030 0.2500 0.4497
0.7970 0.7500 0.5503
0.1219 0.2500 0.0612
0.2183 0.7500 0.2899
0.3572 0.5157 0.8098
0.3572 0.9843 0.8098
0.6428 0.0157 0.1902
0.6428 0.4843 0.1902
0.7817 0.2500 0.7101
0.8781 0.7500 0.9388
0.3315 0.7500 0.0550
0.6685 0.2500 0.9450
```

Summary:
polymorph energy (0 for the lowest one) = 0 meV/atom
DFT formation energy = 79.1 meV per atom

---

Density across the listed records, respectively: 2.72 8.30 9.38 4.93 10.57 5.22 g/cm3.
VASP energy across the listed records, respectively: -5.39 -5.93 -4.25 -6.53 -6.09 -4.95 eV/atom.